a) # PBE-GGA MnBiBr2, relaxed
# DOS(E_F)   2.54 states/eV/f.u.
# Total magnetic moment   15.6 μB/cell
data_MnBiBr2
_cell_length_a 7.419
_cell_length_b 7.419
_cell_length_c 7.419
_cell_angle_alpha 90.00
_cell_angle_beta 90.00
_cell_angle_gamma 90.00
_space_group_name_H-M_alt 'F m -3 m'
_space_group_IT_number 225
_space_group_name_Hall '-F 4 2 3'
loop_
_atom_site_label
_atom_site_type_symbol
_atom_site_fract_x
_atom_site_fract_y
_atom_site_fract_z
Mn1 Mn 0.000 0.000 0.000
Bi1 Bi 0.000 0.000 0.500
Br1 Br 0.250 0.250 0.250



b) # PBE-GGA MnBiBr2, relaxed
# DOS(E_F)   10.38 states/eV/f.u.
# Total magnetic moment   0.0 μB/cell
data_MnBiBr2
_cell_length_a 3.4749
_cell_length_b 3.4749
_cell_length_c 32.6680
_cell_angle_alpha 90.00
_cell_angle_beta 90.00
_cell_angle_gamma 120.00
_space_group_name_H-M_alt 'R -3 m'
_space_group_IT_number 166
_space_group_name_Hall '-R 3 2"'
loop_
_atom_site_label
_atom_site_type_symbol
_atom_site_fract_x
_atom_site_fract_y
_atom_site_fract_z
Mn1 Mn 0.0000 0.0000 0.0000
Bi1 Bi 0.0000 0.0000 0.5000
Br1 Br 0.0000 0.0000 0.3771



Going by the energies, b) is most stable and the next is 18.4 kJ/mol of atoms up.



a) # PBE-GGA MnBi2Br2, relaxed
# DOS(E_F)   2.50 states/eV/f.u.
# Total magnetic moment   9.0 μB/cell
data_MnBi2Br2
_cell_length_a 9.498
_cell_length_b 9.498
_cell_length_c 3.311
_cell_angle_alpha 90.00
_cell_angle_beta 90.00
_cell_angle_gamma 90.00
_space_group_name_H-M_alt 'P 4/m b m'
_space_group_IT_number 127
_space_group_name_Hall '-P 4 2ab'
loop_
_atom_site_label
_atom_site_type_symbol
_atom_site_fract_x
_atom_site_fract_y
_atom_site_fract_z
Mn1 Mn 0.000 0.000 0.000
Bi1 Bi 0.198 0.302 0.500
Br1 Br 0.120 0.620 0.000



b) # PBE-GGA MnBi2Br2, relaxed
# DOS(E_F)   3.53 states/eV/f.u.
# Total magnetic moment   9.7 μB/cell
data_MnBi2Br2
_cell_length_a 4.158
_cell_length_b 4.158
_cell_length_c 22.485
_cell_angle_alpha 90.00
_cell_angle_beta 90.00
_cell_angle_gamma 90.00
_space_group_name_H-M_alt 'I 4/m m m'
_space_group_IT_number 139
_space_group_name_Hall '-I 4 2'
loop_
_atom_site_label
_atom_site_type_symbol
_atom_site_fract_x
_atom_site_fract_y
_atom_site_fract_z
Mn1 Mn 0.000 0.000 0.000
Bi1 Bi 0.000 0.500 0.250
Br1 Br 0.000 0.000 0.427



Going by the energies, b) is most stable and the next is 7.7 kJ/mol of atoms up.



a) # PBE-GGA BiMo3Br, relaxed
# DOS(E_F)   8.65 states/eV/f.u.
# Total magnetic moment   1.6 μB/cell
data_BiMo3Br
_cell_length_a 5.145
_cell_length_b 5.145
_cell_length_c 5.145
_cell_angle_alpha 90.00
_cell_angle_beta 90.00
_cell_angle_gamma 90.00
_space_group_name_H-M_alt 'P m -3 m'
_space_group_IT_number 221
_space_group_name_Hall '-P 4 2 3'
loop_
_atom_site_label
_atom_site_type_symbol
_atom_site_fract_x
_atom_site_fract_y
_atom_site_fract_z
Bi1 Bi 0.000 0.000 0.000
Mo1 Mo 0.000 0.000 0.500
Br1 Br 0.500 0.500 0.500



b) # PBE-GGA BiMo3Br, relaxed
# DOS(E_F)   6.29 states/eV/f.u.
# Total magnetic moment   2.2 μB/cell
data_BiMo3Br
_cell_length_a 4.715
_cell_length_b 4.715
_cell_length_c 4.715
_cell_angle_alpha 90.00
_cell_angle_beta 90.00
_cell_angle_gamma 90.00
_space_group_name_H-M_alt 'P m -3 m'
_space_group_IT_number 221
_space_group_name_Hall '-P 4 2 3'
loop_
_atom_site_label
_atom_site_type_symbol
_atom_site_fract_x
_atom_site_fract_y
_atom_site_fract_z
Bi1 Bi 0.000 0.000 0.000
Mo1 Mo 0.000 0.500 0.500
Br1 Br 0.500 0.500 0.500



Going by the energies, b) is most stable and the next is 103.8 kJ/mol of atoms up.



a) # PBE-GGA BiMo2Br, relaxed
# DOS(E_F)   4.83 states/eV/f.u.
# Total magnetic moment   0.0 μB/cell
data_BiMo2Br
_cell_length_a 4.586
_cell_length_b 4.586
_cell_length_c 17.196
_cell_angle_alpha 90.00
_cell_angle_beta 90.00
_cell_angle_gamma 90.00
_space_group_name_H-M_alt 'I -4 2 d'
_space_group_IT_number 122
_space_group_name_Hall 'I -4 2bw'
loop_
_atom_site_label
_atom_site_type_symbol
_atom_site_fract_x
_atom_site_fract_y
_atom_site_fract_z
Bi1 Bi 0.000 0.000 0.000
Mo1 Mo 0.157 0.250 0.625
Br1 Br 0.000 0.000 0.500



b) # PBE-GGA BiMo2Br, relaxed
# DOS(E_F)   5.22 states/eV/f.u.
# Total magnetic moment   0.0 μB/cell
data_BiMo2Br
_cell_length_a 6.715
_cell_length_b 6.715
_cell_length_c 6.715
_cell_angle_alpha 90.00
_cell_angle_beta 90.00
_cell_angle_gamma 90.00
_space_group_name_H-M_alt 'F m -3 m'
_space_group_IT_number 225
_space_group_name_Hall '-F 4 2 3'
loop_
_atom_site_label
_atom_site_type_symbol
_atom_site_fract_x
_atom_site_fract_y
_atom_site_fract_z
Bi1 Bi 0.000 0.000 0.000
Mo1 Mo 0.250 0.250 0.250
Br1 Br 0.000 0.000 0.500



Going by the energies, b) is most stable and the next is 0.6 kJ/mol of atoms up.